--- i ---
Compound: MgTaCo
Source: the Alexandria database
Functional: PBE
Structure: optimized geometry

```
MgTaCo
1.0
4.3550 0.0000 0.0000
-2.1775 3.7715 0.0000
0.0000 0.0000 2.8092
Mg Ta Co
1 1 1
Direct
0.0000 0.0000 0.0000 Mg
0.6667 0.3333 0.4476 Ta
0.3333 0.6667 0.6964 Co
```

Space-group type: P3m1 (156)
Total magnetization in μB/f.u.: 0.00

--- ii ---
Compound: MgTaCo
Source: the Alexandria database
Functional: PBE
Structure: optimized geometry

```
MgTaCo
1.0
0.0000 2.9551 2.9551
2.9551 0.0000 2.9551
2.9551 2.9551 0.0000
Mg Ta Co
1 1 1
Direct
0.0000 0.0000 0.0000 Mg
0.5000 0.5000 0.5000 Ta
0.2500 0.2500 0.2500 Co
```

Space-group type: F-43m (216)
Total magnetization in μB/f.u.: 0.00

Name the least stable of them. ii.